Version P
Material: Hg2PPb
Method: DFT, GGA-PBE
State: relaxed

Unit cell a=7.054 b=7.054 c=6.946 alpha=59.48 beta=59.48 gamma=90.00
Element x y z (fractional)
Pb (0.000, 0.000, 0.000)
Pb (0.750, 0.250, 0.500)
P (0.500, 0.500, 0.000)
P (0.250, 0.750, 0.500)
Hg (0.566, 0.125, 0.250)
Hg (0.184, 0.625, 0.250)
Hg (0.375, 0.434, 0.750)
Hg (0.875, 0.816, 0.750)

Properties
DOS(E_F): 0.560 states/eV/atom
Space-group type: I-42d (122)

=====

Version Q
Material: Hg2PPb
Method: DFT, GGA-PBE
State: relaxed

Unit cell a=6.774 b=5.820 c=5.832 alpha=90.00 beta=115.46 gamma=90.00
Element x y z (fractional)
Hg (0.519, 0.000, 0.581)
Hg (0.519, 0.500, 0.081)
Hg (0.640, 0.000, 0.141)
Hg (0.640, 0.500, 0.641)
P (0.092, 0.000, 0.367)
P (0.092, 0.500, 0.867)
Pb (0.049, 0.000, 0.845)
Pb (0.049, 0.500, 0.345)

Properties
DOS(E_F): 0.260 states/eV/atom
Space-group type: Fmm2 (42)

=====

Version R
Material: Hg2PPb
Method: DFT, GGA-PBE
State: relaxed

Unit cell a=5.178 b=5.178 c=5.178 alpha=60.00 beta=60.00 gamma=60.00
Element x y z (fractional)
Pb (0.500, 0.500, 0.500)
P (0.000, 0.000, 0.000)
Hg (0.250, 0.250, 0.250)
Hg (0.750, 0.750, 0.750)

Properties
DOS(E_F): 0.684 states/eV/atom
Space-group type: Fm-3m (225)

=====

Version S
Material: Hg2PPb
Method: DFT, GGA-PBE
State: relaxed

Unit cell a=3.350 b=3.767 c=8.181 alpha=90.00 beta=90.00 gamma=90.00
Element x y z (fractional)
Hg (0.000, 0.000, 0.020)
Hg (0.500, 0.500, 0.275)
P (0.000, 0.000, 0.510)
Pb (0.500, 0.500, 0.696)

Properties
DOS(E_F): 0.319 states/eV/atom
Space-group type: Pmm2 (25)

=====

If you had to name the least stable structure above, which would it be? It would be version R.